VASP calculation (PBE with a Hubbard U) on a relaxed CaMgCoHNF crystal.

Lattice parameters (Å, degrees): 3.7686 3.3663 13.1995 90.00 90.00 90.00
Space group Amm2 (No. 38)
Inequivalent atoms, fractional coordinates:
Ca 0.0000 0.0000 0.0000 x2
Mg 0.0000 0.0000 0.7628 x2
Co 0.5000 0.0000 0.3531 x2
H 0.5000 0.0000 0.2257 x2
N 0.0000 0.0000 0.3686 x2
F 0.0000 0.0000 0.6158 x2

Output
Distance to the lowest polymorph of the same formula, meV/atom: 77
Magnetic moment, μB/cell: 4.37